Entry from Alexandria via LeMat-Bulk: a geometry-optimized PaTaRe structure (GGA-PBE).

Structure (POSCAR):
```
PaTaRe
1.0
-0.3651 -1.5945 2.7589
-1.7162 -2.2414 -1.5225
5.9254 -1.0831 -1.7062
Pa Ta Re
1 1 1
direct
0.2942 0.2942 0.5884
0.5910 0.5910 0.1821
0.9648 0.9648 0.9296
```

Properties
Polymorph energy (0 for the lowest one), meV/atom: 0
Magnetic moment, μB/cell: 0.00
Total DFT energy (no corrections), eV for the cell shown: -33.8
Symmetry: I4mm, No. 107